# PBE NbNiPd6, relaxed
data_NbNiPd6
_cell_length_a 5.566
_cell_length_b 7.741
_cell_length_c 11.213
_cell_angle_alpha 90.00
_cell_angle_beta 90.00
_cell_angle_gamma 90.00
_space_group_name_H-M_alt 'F m m m'
_space_group_IT_number 69
_space_group_name_Hall '-F 2 2'
loop_
_atom_site_label
_atom_site_type_symbol
_atom_site_fract_x
_atom_site_fract_y
_atom_site_fract_z
Nb1 Nb 0.000 0.000 0.000
Ni1 Ni 0.000 0.000 0.500
Pd1 Pd 0.000 0.000 0.251
Pd2 Pd 0.250 0.250 0.121
# E above lowest polymorph: 0.00 eV/f.u.

Nb6Ni12Pd after structural relaxation. Source: Alexandria via LeMat-Bulk, functional PBE.

The structure in CIF format:
```
data_Nb6Ni12Pd
_cell_length_a 11.4023
_cell_length_b 11.4023
_cell_length_c 7.5304
_cell_angle_alpha 90.00
_cell_angle_beta 90.00
_cell_angle_gamma 120.00
_space_group_name_H-M_alt 'R -3 m'
_space_group_IT_number 166
_space_group_name_Hall '-R 3 2"'
loop_
_atom_site_label
_atom_site_type_symbol
_atom_site_fract_x
_atom_site_fract_y
_atom_site_fract_z
Nb1 Nb 0.0414 0.5207 0.2116
Ni1 Ni 0.0000 0.3925 0.5000
Ni2 Ni 0.0719 0.1438 0.2863
Pd1 Pd 0.0000 0.0000 0.0000
```

Nb3Ni8Pd2 after structural relaxation. Source: Alexandria via LeMat-Bulk, functional PBE.

The structure in CIF format:
```
data_Nb3Ni8Pd2
_cell_length_a 4.6858
_cell_length_b 4.6858
_cell_length_c 28.2519
_cell_angle_alpha 90.00
_cell_angle_beta 90.00
_cell_angle_gamma 120.00
_space_group_name_H-M_alt 'R -3 m'
_space_group_IT_number 166
_space_group_name_Hall '-R 3 2"'
loop_
_atom_site_label
_atom_site_type_symbol
_atom_site_fract_x
_atom_site_fract_y
_atom_site_fract_z
Nb1 Nb 0.0000 0.0000 0.0000
Nb2 Nb 0.0000 0.0000 0.1864
Ni1 Ni 0.0000 0.0000 0.2728
Ni2 Ni 0.0005 0.5003 0.7693
Pd1 Pd 0.0000 0.0000 0.3594
```

# PBE NbNiPd3, relaxed
data_NbNiPd3
_cell_length_a 8.786
_cell_length_b 6.876
_cell_length_c 5.507
_cell_angle_alpha 90.00
_cell_angle_beta 90.00
_cell_angle_gamma 90.00
_space_group_name_H-M_alt 'I m a 2'
_space_group_IT_number 46
loop_
_space_group_symop_operation_xyz
'x,y,z'
'-x,-y,z'
'-x+1/2,y,z'
'x+1/2,-y,z'
'x+1/2,y+1/2,z+1/2'
'-x+1/2,-y+1/2,z+1/2'
'-x,y+1/2,z+1/2'
'x,-y+1/2,z+1/2'
loop_
_atom_site_label
_atom_site_type_symbol
_atom_site_fract_x
_atom_site_fract_y
_atom_site_fract_z
Nb1 Nb 0.250 0.056 0.000
Ni1 Ni 0.250 0.749 0.287
Pd1 Pd 0.028 0.221 0.240
Pd2 Pd 0.250 0.053 0.518
# E above lowest polymorph: 0.00 eV/f.u.

NbNi7Pd2 after structural relaxation. Source: Alexandria via LeMat-Bulk, functional PBE.

The structure in CIF format:
```
data_NbNi7Pd2
_cell_length_a 7.999
_cell_length_b 13.748
_cell_length_c 2.593
_cell_angle_alpha 90.00
_cell_angle_beta 90.00
_cell_angle_gamma 90.00
_space_group_name_H-M_alt 'C m m m'
_space_group_IT_number 65
_space_group_name_Hall '-C 2 2'
loop_
_atom_site_label
_atom_site_type_symbol
_atom_site_fract_x
_atom_site_fract_y
_atom_site_fract_z
Nb1 Nb 0.000 0.000 0.000
Ni1 Ni 0.000 0.353 0.000
Ni2 Ni 0.000 0.500 0.500
Ni3 Ni 0.250 0.091 0.500
Pd1 Pd 0.000 0.196 0.500
```

# PBE NbNiPd4, relaxed
data_NbNiPd4
_cell_length_a 5.576
_cell_length_b 6.729
_cell_length_c 5.576
_cell_angle_alpha 90.00
_cell_angle_beta 90.00
_cell_angle_gamma 90.00
_space_group_name_H-M_alt 'P m m a'
_space_group_IT_number 51
loop_
_space_group_symop_operation_xyz
'x,y,z'
'-x,-y,-z'
'-x+1/2,-y,z'
'x+1/2,y,-z'
'x+1/2,-y,-z'
'-x+1/2,y,z'
'-x,y,-z'
'x,-y,z'
loop_
_atom_site_label
_atom_site_type_symbol
_atom_site_fract_x
_atom_site_fract_y
_atom_site_fract_z
Nb1 Nb 0.250 0.000 0.249
Ni1 Ni 0.250 0.500 0.750
Pd1 Pd 0.000 0.262 0.000
Pd2 Pd 0.000 0.262 0.500
# E above lowest polymorph: 1.32 eV/f.u.

NbNi4Pd2 after structural relaxation. Source: Alexandria via LeMat-Bulk, functional PBE.

The structure in CIF format:
```
data_NbNi4Pd2
_cell_length_a 4.667
_cell_length_b 4.667
_cell_length_c 9.287
_cell_angle_alpha 90.00
_cell_angle_beta 90.00
_cell_angle_gamma 90.00
_space_group_name_H-M_alt 'I 4/m m m'
_space_group_IT_number 139
_space_group_name_Hall '-I 4 2'
loop_
_atom_site_label
_atom_site_type_symbol
_atom_site_fract_x
_atom_site_fract_y
_atom_site_fract_z
Nb1 Nb 0.000 0.000 0.000
Ni1 Ni 0.000 0.500 0.000
Ni2 Ni 0.000 0.500 0.250
Pd1 Pd 0.000 0.000 0.356
```

# PBE Nb2Ni2Pd, relaxed
data_Nb2Ni2Pd
_cell_length_a 6.776
_cell_length_b 6.776
_cell_length_c 3.229
_cell_angle_alpha 90.00
_cell_angle_beta 90.00
_cell_angle_gamma 90.00
_space_group_name_H-M_alt 'P 4/m b m'
_space_group_IT_number 127
_space_group_name_Hall '-P 4 2ab'
loop_
_atom_site_label
_atom_site_type_symbol
_atom_site_fract_x
_atom_site_fract_y
_atom_site_fract_z
Nb1 Nb 0.174 0.326 0.000
Ni1 Ni 0.126 0.626 0.500
Pd1 Pd 0.000 0.000 0.500
# E above lowest polymorph: 0.00 eV/f.u.

Taking the records one at a time from the top gives formation energy from the elements values of -227, 166, -30, 121, 283, 100, 392, -225 meV per atom.